Record 1
YCu2Ni: relaxed, PBEsol.

Unit cell a=4.388 b=4.388 c=4.388 alpha=60.00 beta=60.00 gamma=60.00
Sites, in units of the cell vectors:
Y: 0.000 0.000 0.000
Cu: 0.500 0.500 0.500
Cu: 0.750 0.750 0.750
Ni: 0.250 0.250 0.250

Fermi-level density of states (states/eV/f.u.): 2.26
Energy of formation (eV/atom): -0.08
ΔE to the lowest computed polymorph (meV/atom): 134

---

Record 2
ErPRu2C: relaxed, PBEsol.

Unit cell a=5.780 b=5.780 c=6.959 alpha=90.00 beta=90.00 gamma=142.63
Sites, in units of the cell vectors:
Er: 0.044 0.956 0.750
Er: 0.956 0.044 0.250
P: 0.232 0.768 0.250
P: 0.768 0.232 0.750
Ru: 0.335 0.665 0.554
Ru: 0.335 0.665 0.946
Ru: 0.665 0.335 0.054
Ru: 0.665 0.335 0.446
C: 0.500 0.500 0.000
C: 0.500 0.500 0.500

Fermi-level density of states (states/eV/f.u.): 1.74
Energy of formation (eV/atom): -0.72

---

Record 3
Y2ScCd2: relaxed, PBEsol.

Unit cell a=8.204 b=8.204 c=3.811 alpha=90.00 beta=90.00 gamma=90.00
Sites, in units of the cell vectors:
Y: 0.172 0.328 0.000
Y: 0.328 0.828 0.000
Y: 0.672 0.172 0.000
Y: 0.828 0.672 0.000
Sc: 0.000 0.000 0.500
Sc: 0.500 0.500 0.500
Cd: 0.128 0.628 0.500
Cd: 0.372 0.128 0.500
Cd: 0.628 0.872 0.500
Cd: 0.872 0.372 0.500

Fermi-level density of states (states/eV/f.u.): 4.85
Energy of formation (eV/atom): -0.21

---

Record 4
Li2ZnGe3: relaxed, PBEsol.

Unit cell a=4.160 b=4.160 c=6.725 alpha=90.00 beta=90.00 gamma=120.00
Sites, in units of the cell vectors:
Li: 0.000 0.000 0.000
Li: 0.000 0.000 0.422
Zn: 0.333 0.667 0.166
Ge: 0.333 0.667 0.778
Ge: 0.667 0.333 0.250
Ge: 0.667 0.333 0.636

Fermi-level density of states (states/eV/f.u.): 1.02
Energy of formation (eV/atom): -0.22

---

Record 5
Cr2P3O13: relaxed, PBEsol.

Unit cell a=6.114 b=21.467 c=8.255 alpha=90.00 beta=125.64 gamma=90.00
Sites, in units of the cell vectors:
Cr: 0.056 0.062 0.287
Cr: 0.056 0.438 0.787
Cr: 0.250 0.709 0.960
Cr: 0.250 0.791 0.460
Cr: 0.750 0.209 0.540
Cr: 0.750 0.291 0.040
Cr: 0.944 0.562 0.213
Cr: 0.944 0.938 0.713
P: 0.048 0.582 0.658
P: 0.048 0.918 0.158
P: 0.135 0.203 0.412
P: 0.135 0.297 0.912
P: 0.480 0.100 0.207
P: 0.480 0.400 0.707
P: 0.520 0.600 0.293
P: 0.520 0.900 0.793
P: 0.865 0.703 0.088
P: 0.865 0.797 0.588
P: 0.952 0.082 0.842
P: 0.952 0.418 0.342
O: 0.015 0.521 0.746
O: 0.015 0.979 0.246
O: 0.021 0.737 0.700
O: 0.021 0.763 0.200
O: 0.050 0.150 0.259
O: 0.050 0.350 0.759
O: 0.062 0.187 0.558
O: 0.062 0.313 0.058
O: 0.138 0.569 0.526
O: 0.138 0.931 0.026
O: 0.210 0.626 0.829
O: 0.210 0.874 0.329
O: 0.214 0.064 0.518
O: 0.214 0.436 0.018
O: 0.254 0.110 0.976
O: 0.254 0.390 0.476
O: 0.291 0.566 0.277
O: 0.291 0.934 0.777
O: 0.294 0.726 0.556
O: 0.294 0.774 0.056
O: 0.370 0.058 0.294
O: 0.370 0.442 0.794
O: 0.438 0.214 0.536
O: 0.438 0.286 0.036
O: 0.449 0.666 0.207
O: 0.449 0.834 0.707
O: 0.551 0.166 0.293
O: 0.551 0.334 0.793
O: 0.562 0.714 0.964
O: 0.562 0.786 0.464
O: 0.630 0.558 0.206
O: 0.630 0.942 0.706
O: 0.706 0.226 0.944
O: 0.706 0.274 0.444
O: 0.709 0.066 0.223
O: 0.709 0.434 0.723
O: 0.746 0.610 0.524
O: 0.746 0.890 0.024
O: 0.786 0.564 0.982
O: 0.786 0.936 0.482
O: 0.790 0.126 0.671
O: 0.790 0.374 0.171
O: 0.862 0.069 0.974
O: 0.862 0.431 0.474
O: 0.938 0.687 0.942
O: 0.938 0.813 0.442
O: 0.950 0.650 0.241
O: 0.950 0.850 0.741
O: 0.979 0.237 0.800
O: 0.979 0.263 0.300
O: 0.985 0.021 0.754
O: 0.985 0.479 0.254

Formation energy without anion corrections (meV per atom): -1879
Fermi-level density of states (states/eV/f.u.): 3.86

---

Record 6
Tl3OsF: relaxed, PBEsol.

Unit cell a=4.836 b=4.836 c=4.836 alpha=90.00 beta=90.00 gamma=90.00
Sites, in units of the cell vectors:
Tl: 0.000 0.000 0.500
Tl: 0.000 0.500 0.000
Tl: 0.500 0.000 0.000
Os: 0.500 0.500 0.500
F: 0.000 0.000 0.000

Formation energy without anion corrections (meV per atom): 532
Fermi-level density of states (states/eV/f.u.): 2.84

---

Record 7
BeAsPt: relaxed, PBEsol.

Unit cell a=4.025 b=4.025 c=4.025 alpha=60.00 beta=60.00 gamma=60.00
Sites, in units of the cell vectors:
Be: 0.000 0.000 0.000
As: 0.250 0.250 0.250
Pt: 0.500 0.500 0.500

Fermi-level density of states (states/eV/f.u.): 1.24
Energy of formation (eV/atom): 0.09

---

Record 8
ScSiPb2: relaxed, PBEsol.

Unit cell a=5.901 b=5.901 c=5.901 alpha=137.44 beta=137.44 gamma=61.75
Sites, in units of the cell vectors:
Sc: 0.000 0.000 0.000
Si: 0.500 0.500 0.000
Pb: 0.250 0.750 0.500
Pb: 0.750 0.250 0.500

Formation energy without anion corrections (meV per atom): -14
Fermi-level density of states (states/eV/f.u.): 2.50

---

Record 9
TlNiCl: relaxed, PBEsol.

Unit cell a=3.776 b=3.776 c=4.861 alpha=90.00 beta=90.00 gamma=120.00
Sites, in units of the cell vectors:
Tl: 0.000 0.000 0.000
Ni: 0.667 0.333 0.500
Cl: 0.333 0.667 0.500

Formation energy without anion corrections (meV per atom): -68
Fermi-level density of states (states/eV/f.u.): 1.30
ΔE to the lowest computed polymorph (meV/atom): 0

---

Record 10
Ga3NiI: relaxed, PBEsol.

Unit cell a=5.761 b=5.761 c=5.761 alpha=90.00 beta=90.00 gamma=90.00
Sites, in units of the cell vectors:
Ga: 0.000 0.000 0.500
Ga: 0.000 0.500 0.000
Ga: 0.500 0.000 0.000
Ni: 0.500 0.500 0.500
I: 0.000 0.000 0.000

Formation energy without anion corrections (meV per atom): 1384
Fermi-level density of states (states/eV/f.u.): 9.01

---

Record 11
TiHgSb2I: relaxed, PBEsol.

Unit cell a=5.242 b=5.242 c=5.428 alpha=90.00 beta=90.00 gamma=90.00
Sites, in units of the cell vectors:
Ti: 0.000 0.000 0.000
Hg: 0.500 0.500 0.500
Sb: 0.000 0.500 0.000
Sb: 0.500 0.000 0.000
I: 0.000 0.000 0.500

Formation energy without anion corrections (meV per atom): 88
Fermi-level density of states (states/eV/f.u.): 3.69

---

Record 12
TiZnCu2: relaxed, PBEsol.

Unit cell a=2.676 b=2.676 c=7.257 alpha=90.00 beta=90.00 gamma=90.00
Sites, in units of the cell vectors:
Ti: 0.000 0.000 0.000
Zn: 0.000 0.000 0.500
Cu: 0.500 0.500 0.263
Cu: 0.500 0.500 0.737

Fermi-level density of states (states/eV/f.u.): 3.29
Energy of formation (eV/atom): -0.09